1.
## ZnAs2Au (GGA-PBE)

Data for crystalline ZnAs2Au at its relaxed geometry.

a b c (Å): 6.2953 6.2953 6.2953
angles (deg): 147.51 144.38 48.98
Closest atoms and distances in Å follow each position.
Sites, in units of the cell vectors:
Zn  0.0000  0.0000  0.0000  2 Au 2.69, 4 As 2.74
As  0.2564  0.7564  0.5000  2 As 2.64, 4 Au 2.82
As  0.4281  0.4281  0.0000  2 As 2.64, 4 Zn 2.74
Au  0.6641  0.1641  0.5000  2 Zn 2.69, 4 As 2.82


2.
## ZnAs2Au (GGA-PBE)

Data for crystalline ZnAs2Au at its relaxed geometry.

a b c (Å): 2.9417 3.8860 6.5662
angles (deg): 90.00 90.00 90.00
Closest atoms and distances in Å follow each position.
Sites, in units of the cell vectors:
Zn  0.0000  0.0000  0.0000  5 As 2.74-3.03, 4 Au 2.93, 2 Zn 2.94
As  0.0000  0.0000  0.5388  4 Au 2.81, 2 As 2.94, 1 Zn 3.03
As  0.5000  0.5000  0.1899  4 Zn 2.74, 1 Au 2.87, 2 As 2.94
Au  0.5000  0.5000  0.7532  5 As 2.81-2.87, 4 Zn 2.93, 2 Au 2.94


no.,ΔE_f (eV/atom)
1,0.147
2,0.188